VASP calculation (PBE+U) on crystalline CrInO2 at its relaxed geometry.

Geometry as CIF:
```
data_CrInO2
_chemical_formula_sum 'Cr2 In2 O4'
_space_group_name_H-M_alt 'P 1'
_space_group_IT_number 1
_space_group_name_Hall 'P 1'
_cell_length_a 5.2882
_cell_length_b 5.2882
_cell_length_c 5.4691
_cell_angle_alpha 118.25
_cell_angle_beta 118.25
_cell_angle_gamma 75.17
loop_
_atom_site_label
_atom_site_fract_x
_atom_site_fract_y
_atom_site_fract_z
Cr1 0.0956 0.9044 0.7500
Cr2 0.9044 0.0956 0.2500
In1 0.3993 0.6007 0.2500
In2 0.6007 0.3993 0.7500
O1 0.0235 0.2658 0.0663
O2 0.2658 0.0235 0.5663
O3 0.7342 0.9765 0.4337
O4 0.9765 0.7342 0.9337
```

Output
- V: 14.823 A^3/atom
- Total magnetic moment: 6.430 μB per cell
- Mass density: 5.6 Mg/m³
- Crystal system: monoclinic
- Calculated total energy: -49.58 eV/cell